1.
# KAsBr2

A relaxed structure of KAsBr2 (GGA-PBE, Alexandria).

Results
Raw total energy = -2.780 eV per atom

Cell: 4.5081 7.5253 6.1427 Å, 35.54 90.00 90.00°
Sites, in units of the cell vectors:
Br  0.0000  0.0000  0.0000
Br  0.5000  0.5000  0.0000
K  0.5000  0.5000  0.5000
As  0.0000  0.0000  0.5000

=====

2.
# K2AsBr

A relaxed structure of K2AsBr (GGA-PBE, Alexandria).

Results
Raw total energy = -2.817 eV per atom

Cell: 9.8721 9.8721 9.8721 Å, 157.80 157.68 31.68°
Sites, in units of the cell vectors:
As  0.4446  0.4446  0.0000
K  0.7932  0.2932  0.5000
K  0.0630  0.0630  0.0000
Br  0.1992  0.6992  0.5000

=====

3.
# KAs2Br7

A relaxed structure of KAs2Br7 (GGA-PBE, Alexandria).

Results
Raw total energy = -2.817 eV per atom

Cell: 5.3165 9.5183 9.5184 Å, 82.10 90.00 90.00°
Sites, in units of the cell vectors:
Br  0.5000  0.7182  0.0188
Br  0.0000  0.7038  0.2962
Br  0.5000  0.9812  0.2818
Br  0.0000  0.2962  0.7038
Br  0.5000  0.2818  0.9812
Br  0.5000  0.0188  0.7182
Br  0.5000  0.5000  0.5000
As  0.5000  0.7235  0.2765
As  0.5000  0.2765  0.7235
K  0.0000  0.0000  0.0000

=====

4.
# KAs2Br

A relaxed structure of KAs2Br (GGA-PBE, Alexandria).

Results
Raw total energy = -3.594 eV per atom

Cell: 8.5908 8.5908 8.5908 Å, 26.77 26.77 26.77°
Sites, in units of the cell vectors:
Br  0.5040  0.5040  0.5040
K  0.7530  0.7530  0.7530
As  0.2624  0.2624  0.2624
As  0.9806  0.9806  0.9806

=====

5.
# KAs2Br

A relaxed structure of KAs2Br (GGA-PBE, Alexandria).

Results
Raw total energy = -3.540 eV per atom

Cell: 7.3918 3.7390 4.9557 Å, 90.18 90.00 90.00°
Sites, in units of the cell vectors:
K  0.5000  0.7500  0.7500
As  0.0000  0.9969  0.9061
As  0.0000  0.5031  0.5939
Br  0.5000  0.2500  0.2500

=====

6.
# KAsBr2

A relaxed structure of KAsBr2 (GGA-PBE, Alexandria).

Results
Raw total energy = -2.893 eV per atom

Cell: 6.4132 6.4132 6.4132 Å, 143.27 124.85 68.11°
Sites, in units of the cell vectors:
Br  0.0744  0.0744  0.0000
Br  0.4256  0.4256  0.0000
As  0.2500  0.7500  0.5000
K  0.7500  0.2500  0.5000

=====

7.
# KAs2Br

A relaxed structure of KAs2Br (GGA-PBE, Alexandria).

Results
Raw total energy = -3.242 eV per atom

Cell: 7.2273 7.2273 6.0784 Å, 90.00 90.00 90.00°
Sites, in units of the cell vectors:
As  0.0000  0.0000  0.0759
As  0.0000  0.0000  0.4241
Br  0.5000  0.5000  0.2500
K  0.5000  0.5000  0.7500

=====

8.
# KAsBr

A relaxed structure of KAsBr (GGA-PBE, Alexandria).

Results
Raw total energy = -2.662 eV per atom

Cell: 5.2916 5.2916 3.6134 Å, 90.00 90.00 120.00°
Sites, in units of the cell vectors:
As  0.0000  0.0000  0.1670
Br  0.6667  0.3333  0.1661
K  0.3333  0.6667  0.6668

=====

In the order shown, the computed formation energy from raw total energies values come out to -2.03, -2.75, -6.07, -2.31, -2.09, -2.48, -0.90, -0.56 eV per formula unit.
In the order shown, the computed total magnetization values come out to 0.0, 0.2, 0.0, 0.0, 0.0, 0.0, 0.1, 0.3 μB/f.u..